Material: HfZrC2
Method: DFT, GGA-PBE
State: relaxed

M_tot   0.00 μB/f.u.
Calculated formation energy   -0.330 eV/atom
Uncorrected energy   -38.27 eV per formula unit
N(E_F)   0.47 states/eV per atom

Cell and atoms, written as POSCAR:
```
HfZrC2
1.0
3.286 0.000 0.000
-1.643 2.846 0.000
0.000 0.000 5.824
Hf Zr C
1 1 2
direct
0.000 0.000 0.000 Hf
0.000 0.000 0.500 Zr
0.333 0.667 0.755 C
0.667 0.333 0.245 C
```